Record 1
A geometry-optimized Si3SnSb structure. Source: Alexandria via LeMat-Bulk, functional PBE.

The structure in POSCAR format:
```
Si3SnSb
1.0
-4.488 0.372 -2.558
-0.082 -5.144 -0.603
-2.584 -0.481 4.463
Si Sn Sb
3 1 1
direct
0.000 0.500 0.000
0.000 0.000 0.500
0.500 0.000 0.000
0.500 0.500 0.500
0.000 0.000 0.000
```

calculated volume: 139.0 Å³/cell
magnetization: 0.00 μB per atom
theoretical density: 3.880 g/cm3
energy above the lowest structure with this stoichiometry: 0 meV/atom

---

Record 2
A geometry-optimized Si2Sn2Sb structure. Source: Alexandria via LeMat-Bulk, functional PBE.

The structure in POSCAR format:
```
Si2Sn2Sb
1.0
3.540 0.000 0.000
0.000 3.540 0.000
1.770 1.770 9.374
Sn Sb Si
2 1 2
direct
0.384 0.384 0.233
0.616 0.616 0.767
0.000 0.000 0.000
0.750 0.250 0.500
0.250 0.750 0.500
```

calculated volume: 117.5 Å³/cell
magnetization: 0.00 μB per atom
theoretical density: 5.871 g/cm3
energy above the lowest structure with this stoichiometry: 0 meV/atom

---

Record 3
A geometry-optimized Si2SnSb2 structure. Source: Alexandria via LeMat-Bulk, functional PBE.

The structure in POSCAR format:
```
Si2SnSb2
1.0
7.672 0.000 0.000
0.000 7.672 0.000
0.000 0.000 3.873
Si Sn Sb
4 2 4
direct
0.116 0.384 0.000
0.884 0.616 0.000
0.384 0.884 0.000
0.616 0.116 0.000
0.500 0.500 0.000
0.000 0.000 0.000
0.319 0.181 0.500
0.819 0.319 0.500
0.181 0.681 0.500
0.681 0.819 0.500
```

calculated volume: 227.9 Å³/cell
magnetization: 0.00 μB per atom
theoretical density: 6.096 g/cm3
energy above the lowest structure with this stoichiometry: 76 meV/atom

---

Record 4
A geometry-optimized Si2Sn2Sb structure. Source: Alexandria via LeMat-Bulk, functional PBE.

The structure in POSCAR format:
```
Si2Sn2Sb
1.0
-4.776 -5.768 -1.469
5.655 -3.811 -3.425
0.960 -1.673 3.447
Si Sn Sb
4 4 2
direct
0.115 0.385 0.000
0.385 0.885 0.000
0.615 0.115 0.000
0.885 0.615 0.000
0.315 0.185 0.500
0.815 0.315 0.500
0.685 0.815 0.500
0.185 0.685 0.500
0.500 0.500 0.000
0.000 0.000 0.000
```

calculated volume: 230.0 Å³/cell
magnetization: 0.00 μB per atom
theoretical density: 5.998 g/cm3
energy above the lowest structure with this stoichiometry: 95 meV/atom

---

Record 5
A geometry-optimized SiSnSb2 structure. Source: Alexandria via LeMat-Bulk, functional PBE.

The structure in POSCAR format:
```
SiSnSb2
1.0
-6.359 0.071 -3.759
2.657 -5.141 -4.591
-3.441 -5.707 -1.544
Sb Sn Si
4 2 2
direct
0.175 0.625 0.250
0.875 0.825 0.750
0.575 0.125 0.250
0.375 0.425 0.750
0.750 0.250 0.500
0.000 0.000 0.000
0.250 0.750 0.500
0.500 0.500 0.000
```

calculated volume: 241.0 Å³/cell
magnetization: 0.00 μB per atom
theoretical density: 5.379 g/cm3
energy above the lowest structure with this stoichiometry: 0 meV/atom

---

Record 6
A geometry-optimized Si2SnSb2 structure. Source: Alexandria via LeMat-Bulk, functional PBE.

The structure in POSCAR format:
```
Si2SnSb2
1.0
3.454 0.000 0.000
0.000 3.454 0.000
1.727 1.727 9.905
Sb Sn Si
2 1 2
direct
0.381 0.381 0.239
0.619 0.619 0.761
0.000 0.000 0.000
0.750 0.250 0.500
0.250 0.750 0.500
```

calculated volume: 118.2 Å³/cell
magnetization: 0.00 μB per atom
theoretical density: 5.880 g/cm3
energy above the lowest structure with this stoichiometry: 0 meV/atom

---

Record 7
A geometry-optimized TlSi2SnSb structure. Source: Alexandria via LeMat-Bulk, functional PBE.

The structure in POSCAR format:
```
TlSi2SnSb
1.0
5.134 0.000 0.000
0.000 5.875 0.000
0.000 0.000 5.134
Si Tl Sb Sn
2 1 1 1
direct
0.500 0.000 0.000
0.000 0.000 0.500
0.000 0.000 0.000
0.000 0.500 0.000
0.500 0.500 0.500
```

calculated volume: 154.8 Å³/cell
magnetization: 0.00 μB per atom
theoretical density: 5.374 g/cm3
energy: -3.12 eV per atom

---

Record 8
A geometry-optimized Y2SiSnSb structure. Source: Alexandria via LeMat-Bulk, functional PBE.

The structure in POSCAR format:
```
Y2SiSnSb
1.0
-4.927 -1.999 0.916
1.666 -2.082 4.416
-1.342 4.514 2.634
Y Sb Sn Si
2 1 1 1
direct
0.000 0.000 0.500
0.500 0.000 0.000
0.000 0.500 0.000
0.500 0.500 0.500
0.000 0.000 0.000
```

calculated volume: 150.2 Å³/cell
magnetization: 0.00 μB per atom
theoretical density: 4.934 g/cm3
energy above the lowest structure with this stoichiometry: 0 meV/atom

---

- Which of these has the lowest theoretical density?
  Si3SnSb